[1]
Below is a PBEsol-optimized structure of KFeBr2, with properties calculated at the SCAN level.

Formation energy (no corrections) in eV per atom: -0.602
Crystal system: tetragonal
Final energy in eV per atom: -16.95

Cell: 3.5124 5.1261 5.1261 Å, 90.00 90.00 90.00°
Site moments in Bohr magnetons follow the coordinates.
Element x y z (fractional)
Br1 0.0000 0.0000 0.5000  0.02
Br2 0.0000 0.5000 0.0000  0.02
Fe1 0.5000 0.5000 0.5000  3.03
K1 0.5000 0.0000 0.0000  0.00

---

[2]
Below is a PBEsol-optimized structure of RbHfZr2Sn, with properties calculated at the SCAN level.

Formation energy from the elements in eV per atom: 1.131
Crystal system: tetragonal
Final energy in eV per atom: -35.02

Cell: 5.3886 5.4708 5.4708 Å, 90.00 90.00 90.00°
Site moments in Bohr magnetons follow the coordinates.
Element x y z (fractional)
Rb1 0.5000 0.5000 0.5000  0.02
Hf1 0.5000 0.0000 0.0000  0.31
Sn1 0.0000 0.0000 0.0000  0.05
Zr1 0.0000 0.0000 0.5000  0.41
Zr2 0.0000 0.5000 0.0000  0.41

---

[3]
Below is a PBEsol-optimized structure of Ca2SiHg, with properties calculated at the SCAN level.

Formation energy (no corrections) in eV per atom: -0.398
Crystal system: orthorhombic
Final energy in eV per atom: -24.77

Cell: 3.6171 4.9397 6.2170 Å, 113.41 106.91 90.00°
Element x y z (fractional)
Ca1 0.9737 0.9737 0.9474
Ca2 0.7669 0.2669 0.5339
Hg1 0.5354 0.5354 0.0707
Si1 0.2240 0.7240 0.4480

---

[4]
Below is a PBEsol-optimized structure of KBaP2, with properties calculated at the SCAN level.

Formation energy from the elements in eV per atom: -0.127
Crystal system: tetragonal
Final energy in eV per atom: -17.30

Cell: 4.5931 4.5931 6.5003 Å, 90.00 90.00 90.00°
Site moments in Bohr magnetons follow the coordinates.
Element x y z (fractional)
Ba1 0.0000 0.0000 0.0000  0.03
K1 0.5000 0.5000 0.5000  0.03
P1 0.0000 0.0000 0.5000  0.69
P2 0.5000 0.5000 0.0000  0.54

---

Question: The lowest final energy belongs to which entry?
Answer: RbHfZr2Sn

---

Question: Look up the final energy of the second one.
Answer: -35.02 eV per atom